[1]
HoTmPu2: relaxed, PBE.

Properties
The energy above the lowest structure with this stoichiometry is 0.000 eV per formula unit. Its energy of formation from the pure elements is 161 meV per atom. As for the space group: P4/mmm, No. 123.

a b c (Å): 3.3817 3.3817 10.0399
angles (deg): 90.00 90.00 90.00
Closest atoms and distances in Å follow each position.
Sites, in units of the cell vectors:
Ho  0.0000  0.0000  0.0000  4 Ho 3.38, 8 Pu 3.48
Tm  0.0000  0.0000  0.5000  4 Tm 3.38, 8 Pu 3.46
Pu  0.5000  0.5000  0.2515  4 Pu 3.38, 4 Tm 3.46, 4 Ho 3.48
Pu  0.5000  0.5000  0.7485  4 Pu 3.38, 4 Tm 3.46, 4 Ho 3.48

=====

[2]
BiAsPb: relaxed, PBE.

Properties
The energy above the lowest structure with this stoichiometry is 0.126 eV per formula unit. Its energy of formation from the pure elements is 107 meV per atom. As for the space group: I4mm, No. 107.

a b c (Å): 6.3989 6.3989 6.3989
angles (deg): 145.12 145.12 50.16
Closest atoms and distances in Å follow each position.
Sites, in units of the cell vectors:
Bi  0.0000  0.0000  0.0000  4 As 3.05, 1 Pb 3.24
As  0.3806  0.3806  0.0000  4 Bi 3.05, 4 Pb 3.29
Pb  0.7202  0.7202  0.0000  1 Bi 3.24, 4 As 3.29

=====

[3]
YCdHgPt: relaxed, PBE.

Properties
Its energy of formation from the pure elements is -584 meV per atom. As for the space group: F-43m, No. 216.

a b c (Å): 4.9456 4.9456 4.9456
angles (deg): 60.00 60.00 60.00
Closest atoms and distances in Å follow each position.
Sites, in units of the cell vectors:
Y  0.0000  0.0000  0.0000  4 Hg 3.03, 4 Pt 3.03
Cd  0.5000  0.5000  0.5000  4 Hg 3.03, 4 Pt 3.03
Hg  0.2500  0.2500  0.2500  4 Cd 3.03, 4 Y 3.03
Pt  0.7500  0.7500  0.7500  4 Cd 3.03, 4 Y 3.03

=====

[4]
CrGeOs: relaxed, PBE.

Properties
Its energy of formation from the pure elements is 58 meV per atom. As for the space group: P2_1/m, No. 11.

a b c (Å): 4.2204 2.9559 6.6430
angles (deg): 90.00 101.21 90.00
Closest atoms and distances in Å follow each position.
Sites, in units of the cell vectors:
Cr  0.2398  0.2500  0.4940  4 Cr 2.52-2.64, 2 Ge 2.55, 3 Os 2.56-2.81
Cr  0.7602  0.7500  0.5060  4 Cr 2.52-2.64, 2 Ge 2.55, 3 Os 2.56-2.81
Ge  0.1719  0.7500  0.1762  2 Cr 2.55, 5 Os 2.56-2.60
Ge  0.8281  0.2500  0.8238  2 Cr 2.55, 5 Os 2.56-2.60
Os  0.3201  0.7500  0.8147  5 Ge 2.56-2.60, 3 Cr 2.56-2.81
Os  0.6799  0.2500  0.1853  5 Ge 2.56-2.60, 3 Cr 2.56-2.81

=====

[5]
PrNd3Sm6: relaxed, PBE.

Properties
The energy above the lowest structure with this stoichiometry is 1.128 eV per formula unit. Its energy of formation from the pure elements is 252 meV per atom. As for the space group: R32, No. 155.

a b c (Å): 7.0449 7.0449 7.0449
angles (deg): 91.30 91.30 91.30
Closest atoms and distances in Å follow each position.
Sites, in units of the cell vectors:
Pr  0.0000  0.0000  0.0000  2 Nd 2.99, 3 Sm 3.29
Nd  0.2509  0.2509  0.2509  1 Nd 2.97, 1 Pr 2.99
Nd  0.5000  0.5000  0.5000  2 Nd 2.97, 3 Sm 3.28
Nd  0.7491  0.7491  0.7491  1 Nd 2.97, 1 Pr 2.99
Sm  0.0000  0.3261  0.6739  1 Pr 3.29, 2 Nd 3.54
Sm  0.1745  0.8255  0.5000  3 Nd 3.28-3.54
Sm  0.3261  0.6739  0.0000  1 Pr 3.29, 2 Nd 3.54
Sm  0.5000  0.1745  0.8255  3 Nd 3.28-3.54
Sm  0.6739  0.0000  0.3261  1 Pr 3.29, 2 Nd 3.53-3.54
Sm  0.8255  0.5000  0.1745  3 Nd 3.28-3.54

=====

[6]
Sm3Ga9Tc2: relaxed, PBE.

Properties
Its energy of formation from the pure elements is -491 meV per atom. As for the space group: Immm, No. 71.

a b c (Å): 8.2753 8.2753 8.2753
angles (deg): 149.92 110.05 77.99
Closest atoms and distances in Å follow each position.
Sites, in units of the cell vectors:
Sm  0.0000  0.0000  0.0000  12 Ga 3.17-3.19
Sm  0.3015  0.3015  0.0000  2 Tc 3.06, 10 Ga 3.10-3.34
Sm  0.6985  0.6985  0.0000  2 Tc 3.06, 10 Ga 3.10-3.34
Ga  0.0154  0.6530  0.3625  3 Ga 2.57-2.61, 1 Tc 2.63
Ga  0.1531  0.8697  0.2835  3 Ga 2.57-2.65, 2 Tc 2.75
Ga  0.2905  0.6530  0.6375  3 Ga 2.57-2.61, 1 Tc 2.63
Ga  0.4138  0.1303  0.2835  3 Ga 2.57-2.65, 2 Tc 2.75
Ga  0.5000  0.0000  0.5000  4 Ga 2.65, 4 Tc 2.73
Ga  0.5862  0.8697  0.7165  3 Ga 2.57-2.65, 2 Tc 2.75
Ga  0.7095  0.3470  0.3625  3 Ga 2.57-2.61, 1 Tc 2.63
Ga  0.8469  0.1303  0.7165  3 Ga 2.57-2.65, 2 Tc 2.75
Ga  0.9846  0.3470  0.6375  3 Ga 2.57-2.61, 1 Tc 2.63
Tc  0.3220  0.5000  0.8220  8 Ga 2.63-2.75
Tc  0.6780  0.5000  0.1780  8 Ga 2.63-2.75

=====

[7]
CaThAl4: relaxed, PBE.

Properties
The energy above the lowest structure with this stoichiometry is 0.000 eV per formula unit. Its energy of formation from the pure elements is -338 meV per atom. As for the space group: F-43m, No. 216.

a b c (Å): 5.6693 5.6693 5.6693
angles (deg): 60.00 60.00 60.00
Closest atoms and distances in Å follow each position.
Sites, in units of the cell vectors:
Ca  0.0000  0.0000  0.0000  12 Al 3.32, 4 Th 3.47
Th  0.7500  0.7500  0.7500  12 Al 3.32, 4 Ca 3.47
Al  0.3754  0.3754  0.3754  6 Al 2.83-2.84
Al  0.3754  0.3754  0.8739  6 Al 2.83-2.84
Al  0.3754  0.8739  0.3754  6 Al 2.83-2.84
Al  0.8739  0.3754  0.3754  6 Al 2.83-2.84

=====

[8]
Pm6Pr12Y: relaxed, PBE.

Properties
The energy above the lowest structure with this stoichiometry is 0.000 eV per formula unit. Its energy of formation from the pure elements is 123 meV per atom. As for the space group: R-3, No. 148.

a b c (Å): 8.8184 8.8184 8.8184
angles (deg): 89.13 89.13 89.13
Closest atoms and distances in Å follow each position.
Sites, in units of the cell vectors:
Pm  0.2003  0.7615  0.5965  7 Pr 3.45-3.79, 1 Y 3.58, 2 Pm 3.62
Pm  0.2385  0.4035  0.7997  7 Pr 3.45-3.79, 1 Y 3.58, 2 Pm 3.62
Pm  0.4035  0.7997  0.2385  7 Pr 3.45-3.79, 1 Y 3.58, 2 Pm 3.62
Pm  0.5965  0.2003  0.7615  7 Pr 3.45-3.79, 1 Y 3.58, 2 Pm 3.62
Pm  0.7615  0.5965  0.2003  7 Pr 3.45-3.79, 1 Y 3.58, 2 Pm 3.62
Pm  0.7997  0.2385  0.4035  7 Pr 3.45-3.79, 1 Y 3.58, 2 Pm 3.62
Pr  0.0358  0.9337  0.2807  4 Pr 3.40-3.71, 3 Pm 3.45-3.55
Pr  0.0663  0.7193  0.9642  4 Pr 3.40-3.71, 3 Pm 3.45-3.55
Pr  0.1390  0.4827  0.3075  4 Pr 3.54-3.71, 4 Pm 3.60-3.79, 1 Y 3.64
Pr  0.2807  0.0358  0.9337  4 Pr 3.40-3.71, 3 Pm 3.45-3.55
Pr  0.3075  0.1390  0.4827  4 Pr 3.54-3.71, 4 Pm 3.60-3.79, 1 Y 3.64
Pr  0.4827  0.3075  0.1390  4 Pr 3.54-3.71, 4 Pm 3.60-3.79, 1 Y 3.64
Pr  0.5173  0.6925  0.8610  4 Pr 3.54-3.71, 4 Pm 3.60-3.79, 1 Y 3.64
Pr  0.6925  0.8610  0.5173  4 Pr 3.54-3.71, 4 Pm 3.60-3.79, 1 Y 3.64
Pr  0.7193  0.9642  0.0663  4 Pr 3.40-3.71, 3 Pm 3.45-3.55
Pr  0.8610  0.5173  0.6925  4 Pr 3.54-3.71, 4 Pm 3.60-3.79, 1 Y 3.64
Pr  0.9337  0.2807  0.0358  4 Pr 3.40-3.71, 3 Pm 3.45-3.55
Pr  0.9642  0.0663  0.7193  4 Pr 3.40-3.71, 3 Pm 3.45-3.55
Y  0.5000  0.5000  0.5000  6 Pm 3.58, 6 Pr 3.64

=====

Q: Which density values were calculated for the entries above? A: 11.9, 9.6, 11.6, 12.9, 7.0, 8.1, 4.9, 6.4, in g cm⁻³.
Q: Which total magnetization values were calculated for the entries above? A: 12.8, 0.0, 0.0, 0.0, 0.0, 0.0, 0.0, 0.0, in Bohr magnetons per cell.
Q: Which E values were calculated for the entries above? A: -9.268, -3.973, -4.014, -8.433, -4.488, -4.929, -4.404, -4.736, in eV/atom.